No. 1
! LaPuGe2, optimized geometry, DFT PBE-GGA; values from VASP
&SYSTEM
  ibrav = 0, nat = 4, ntyp = 3
/
ATOMIC_SPECIES
Ge 72.64 Ge.upf
La 138.91 La.upf
Pu 244.00 Pu.upf
CELL_PARAMETERS angstrom
-2.5841 1.8474 1.1686
-1.9448 -2.7691 0.0771
2.4594 -1.5094 7.8250
ATOMIC_POSITIONS crystal
Ge 0.0000 0.0000 0.7604
Ge 0.0000 0.0000 0.2396
La 0.5000 0.5000 0.5000
Pu 0.5000 0.5000 0.0000
! **Volume**: 95.55 Å³/f.u.
! **Formation energy**: -0.54 eV/atom

---

No. 2
! LaPu2Ge2, optimized geometry, DFT PBE-GGA; values from VASP
&SYSTEM
  ibrav = 0, nat = 10, ntyp = 3
/
ATOMIC_SPECIES
La 138.91 La.upf
Pu 244.00 Pu.upf
Ge 72.64 Ge.upf
CELL_PARAMETERS angstrom
4.6387 0.0000 0.0000
-2.3193 6.7970 0.0000
0.0000 0.0000 8.2336
ATOMIC_POSITIONS crystal
La 0.4145 0.8291 0.3426
La 0.5855 0.1709 0.8426
Pu 0.3259 0.6519 0.9477
Pu 0.6741 0.3481 0.4477
Pu 0.1478 0.2956 0.2342
Pu 0.8522 0.7044 0.7342
Ge 0.2273 0.4547 0.6357
Ge 0.7727 0.5453 0.1357
Ge 0.9684 0.9369 0.0443
Ge 0.0316 0.0631 0.5443
! **Volume**: 129.80 Å³/f.u.
! **Formation energy**: -0.41 eV/atom
! **Energy above the most stable polymorph in this dataset**: 0 meV per atom

---

No. 3
! LaPuGe, optimized geometry, DFT PBE-GGA; values from VASP
&SYSTEM
  ibrav = 0, nat = 3, ntyp = 3
/
ATOMIC_SPECIES
Ge 72.64 Ge.upf
La 138.91 La.upf
Pu 244.00 Pu.upf
CELL_PARAMETERS angstrom
-1.9736 0.4116 2.5176
-4.0483 -0.8528 -3.0342
2.2653 -3.9181 2.4165
ATOMIC_POSITIONS crystal
Ge 0.6665 0.6667 0.3333
La 0.1669 0.3333 0.6667
Pu 0.1665 0.0000 0.0000
! **Volume**: 73.52 Å³/f.u.
! **Formation energy**: -0.14 eV/atom
! **Energy above the most stable polymorph in this dataset**: 386 meV per atom

---

No. 4
! LaPuGe3, optimized geometry, DFT PBE-GGA; values from VASP
&SYSTEM
  ibrav = 0, nat = 10, ntyp = 3
/
ATOMIC_SPECIES
La 138.91 La.upf
Pu 244.00 Pu.upf
Ge 72.64 Ge.upf
CELL_PARAMETERS angstrom
4.1013 0.0000 0.0000
0.0000 4.2336 -0.8095
0.0000 0.4294 13.7215
ATOMIC_POSITIONS crystal
La 0.2500 0.0741 0.1483
La 0.7500 0.9259 0.8517
Pu 0.2500 0.7932 0.5865
Pu 0.7500 0.2068 0.4135
Ge 0.2500 0.3755 0.7509
Ge 0.7500 0.6245 0.2491
Ge 0.2500 0.4728 0.9455
Ge 0.7500 0.5272 0.0545
Ge 0.7500 0.3178 0.6357
Ge 0.2500 0.6822 0.3643
! **Volume**: 119.84 Å³/f.u.
! **Formation energy**: -0.57 eV/atom